Here is an optimized crystal structure of Dy2Y2SiIr4 from Alexandria via LeMat-Bulk. Energies are from GGA-PBE.

- Formation energy (no corrections): -0.533 eV per atom
- Total DFT energy (no corrections): -67.80 eV per formula unit

Cell lengths 6.4327, 6.4327, 8.9002 Å; angles 90.00, 90.00, 90.00 degrees
Closest atoms and distances in Å follow each position.
Space group I4/mmm (No. 139)
Inequivalent atoms, fractional coordinates:
1 Dy 0.0000 0.5000 0.2500  8 Ir 3.18, 4 Y 3.26
2 Y 0.0000 0.0000 0.1908  1 Si 2.75, 4 Ir 2.81
3 Si 0.0000 0.0000 0.5000  4 Ir 2.31
4 Ir 0.2463 0.2463 0.0000  1 Si 2.31


Here is an optimized crystal structure of Zr2NbMoH from Alexandria via LeMat-Bulk. Energies are from GGA-PBE.

- Total DFT energy (no corrections): -41.54 eV per formula unit

Cell lengths 4.7378, 4.7378, 3.5966 Å; angles 90.00, 90.00, 90.00 degrees
Closest atoms and distances in Å follow each position.
Space group P4/mmm (No. 123)
Inequivalent atoms, fractional coordinates:
1 Zr 0.0000 0.5000 0.0000  2 H 2.37
2 Nb 0.0000 0.0000 0.5000  8 Zr 2.97
3 Mo 0.5000 0.5000 0.5000  2 H 1.80
4 H 0.5000 0.5000 0.0000  2 Mo 1.80


Here is an optimized crystal structure of Sm7YMg4 from Alexandria via LeMat-Bulk. Energies are from GGA-PBE.

- Total DFT energy (no corrections): -44.15 eV per formula unit
- Formation energy from the elements: 144 meV per atom

Cell lengths 15.3231, 5.8101, 9.7954 Å; angles 90.00, 121.38, 90.00 degrees
Closest atoms and distances in Å follow each position.
Space group C2/m (No. 12)
Inequivalent atoms, fractional coordinates:
1 Sm 0.0000 0.0000 0.0000  2 Y 2.91, 2 Mg 3.02
2 Sm 0.0814 0.5000 0.4258  5 Mg 3.21-3.51, 2 Sm 3.48-3.51
3 Sm 0.1989 0.5000 0.8773  7 Sm 3.57-3.81, 3 Mg 3.59-3.61, 1 Y 3.81
4 Sm 0.2469 0.0000 0.7101  4 Mg 3.11-3.29, 1 Y 3.41
5 Y 0.0000 0.5000 0.0000  2 Sm 2.91
6 Mg 0.0395 0.0000 0.6960  2 Mg 3.09-3.37, 4 Sm 3.11-3.33
7 Mg 0.1745 0.0000 0.3443  5 Sm 3.02-3.29, 1 Mg 3.09


Here is an optimized crystal structure of MnCuSnIr from Alexandria via LeMat-Bulk. Energies are from GGA-PBE.

- Total DFT energy (no corrections): -26.36 eV per formula unit
- Formation energy from the elements: -58 meV per atom

Cell lengths 6.2807, 6.2807, 6.2807 Å; angles 90.00, 90.00, 90.00 degrees
Closest atoms and distances in Å follow each position.
Space group F-43m (No. 216)
Inequivalent atoms, fractional coordinates:
1 Mn 0.0000 0.0000 0.0000  4 Ir 2.72, 4 Cu 2.72
2 Cu 0.2500 0.2500 0.2500  4 Mn 2.72, 4 Sn 2.72
3 Sn 0.0000 0.0000 0.5000  4 Cu 2.72, 4 Ir 2.72
4 Ir 0.2500 0.2500 0.7500  4 Mn 2.72, 4 Sn 2.72


Here is an optimized crystal structure of LiPd2Pb from Alexandria via LeMat-Bulk. Energies are from GGA-PBE.

- Total DFT energy (no corrections): -17.63 eV per formula unit
- Formation energy from the elements: -406 meV per atom

Cell lengths 4.1393, 4.1393, 3.9724 Å; angles 90.00, 90.00, 90.00 degrees
Closest atoms and distances in Å follow each position.
Space group P4/mmm (No. 123)
Inequivalent atoms, fractional coordinates:
1 Li 0.0000 0.0000 0.0000  8 Pd 2.87, 4 Pb 2.93
2 Pd 0.0000 0.5000 0.5000  4 Pb 2.87, 4 Li 2.87, 4 Pd 2.93
3 Pb 0.5000 0.5000 0.0000  8 Pd 2.87, 4 Li 2.93


Here is an optimized crystal structure of HoErGaTc from Alexandria via LeMat-Bulk. Energies are from GGA-PBE.

- Total DFT energy (no corrections): -23.59 eV per formula unit
- Formation energy from the elements: -265 meV per atom

Cell lengths 6.9522, 6.9522, 6.9522 Å; angles 90.00, 90.00, 90.00 degrees
Closest atoms and distances in Å follow each position.
Space group F-43m (No. 216)
Inequivalent atoms, fractional coordinates:
1 Ho 0.0000 0.0000 0.0000  4 Tc 3.01, 4 Ga 3.01
2 Er 0.0000 0.0000 0.5000  4 Ga 3.01, 4 Tc 3.01
3 Ga 0.2500 0.2500 0.7500  4 Ho 3.01, 4 Er 3.01
4 Tc 0.2500 0.2500 0.2500  4 Ho 3.01, 4 Er 3.01


Here is an optimized crystal structure of LiHSN2 from Alexandria via LeMat-Bulk. Energies are from GGA-PBE.

- Total DFT energy (no corrections): -14.80 eV per formula unit
- Offset from the most stable computed form: 660.0 meV/atom

Cell lengths 3.4449, 3.4449, 5.0219 Å; angles 90.00, 90.00, 90.00 degrees
Closest atoms and distances in Å follow each position.
Space group P4/mmm (No. 123)
Inequivalent atoms, fractional coordinates:
1 Li 0.0000 0.0000 0.0000  4 N 1.72
2 H 0.5000 0.5000 0.5000  4 S 2.44
3 S 0.0000 0.0000 0.5000  4 H 2.44, 2 Li 2.51
4 N 0.0000 0.5000 0.0000  2 Li 1.72


Here is an optimized crystal structure of Mn3NbFe from Alexandria via LeMat-Bulk. Energies are from GGA-PBE.

- Total DFT energy (no corrections): -35.13 eV per formula unit
- Offset from the most stable computed form: 1856.6 meV/atom
- Formation energy from the elements: 2182 meV per atom

Cell lengths 4.3787, 4.3787, 4.3787 Å; angles 90.00, 90.00, 90.00 degrees
Closest atoms and distances in Å follow each position.
Space group Pm-3m (No. 221)
Inequivalent atoms, fractional coordinates:
1 Mn 0.0000 0.0000 0.5000  2 Nb 2.19
2 Nb 0.0000 0.0000 0.0000  6 Mn 2.19
3 Fe 0.5000 0.5000 0.5000  12 Mn 3.10


Here is an optimized crystal structure of Pr15TmIn4 from Alexandria via LeMat-Bulk. Energies are from GGA-PBE.

- Total DFT energy (no corrections): -91.37 eV per formula unit
- Formation energy from the elements: -213 meV per atom

Cell lengths 5.0253, 5.0253, 25.5986 Å; angles 90.00, 90.00, 90.00 degrees
Closest atoms and distances in Å follow each position.
Space group P4/mmm (No. 123)
Inequivalent atoms, fractional coordinates:
1 Pr 0.0000 0.0000 0.0000  4 Tm 3.55, 8 Pr 3.66
2 Pr 0.0000 0.0000 0.2032  4 In 3.55, 8 Pr 3.57
3 Pr 0.0000 0.0000 0.4011  4 In 3.55, 8 Pr 3.57
4 Pr 0.0000 0.5000 0.1041  8 Pr 3.55-3.66, 2 In 3.59, 2 Tm 3.66
5 Pr 0.0000 0.5000 0.3023  4 In 3.55-3.57, 8 Pr 3.55-3.57
6 Pr 0.0000 0.5000 0.5000  8 Pr 3.55-3.57, 4 In 3.57
7 Tm 0.5000 0.5000 0.0000  12 Pr 3.55-3.66
8 In 0.5000 0.5000 0.2045  12 Pr 3.55-3.59
9 In 0.5000 0.5000 0.4012  12 Pr 3.55-3.57


Here is an optimized crystal structure of SrThAgHg from Alexandria via LeMat-Bulk. Energies are from GGA-PBE.

- Total DFT energy (no corrections): -12.88 eV per formula unit
- Formation energy from the elements: -156 meV per atom

Cell lengths 7.7017, 7.7017, 7.7017 Å; angles 90.00, 90.00, 90.00 degrees
Closest atoms and distances in Å follow each position.
Space group F-43m (No. 216)
Inequivalent atoms, fractional coordinates:
1 Sr 0.0000 0.0000 0.0000  4 Ag 3.33, 4 Hg 3.33
2 Th 0.0000 0.0000 0.5000  4 Hg 3.33, 4 Ag 3.33
3 Ag 0.2500 0.2500 0.2500  4 Th 3.33, 4 Sr 3.33
4 Hg 0.2500 0.2500 0.7500  4 Th 3.33, 4 Sr 3.33


Here is an optimized crystal structure of KTaAl from Alexandria via LeMat-Bulk. Energies are from GGA-PBE.

- Total DFT energy (no corrections): -11.75 eV per formula unit
- Offset from the most stable computed form: 1051.5 meV/atom
- Formation energy from the elements: 1647 meV per atom

Cell lengths 6.9332, 6.9332, 6.9332 Å; angles 90.00, 90.00, 90.00 degrees
Closest atoms and distances in Å follow each position.
Space group F-43m (No. 216)
Inequivalent atoms, fractional coordinates:
1 K 0.0000 0.0000 0.0000  4 Al 3.00
2 Ta 0.0000 0.0000 0.5000  4 Al 3.00
3 Al 0.2500 0.2500 0.7500  4 Ta 3.00, 4 K 3.00


Here is an optimized crystal structure of YHf3V from Alexandria via LeMat-Bulk. Energies are from GGA-PBE.

- Total DFT energy (no corrections): -42.83 eV per formula unit
- Offset from the most stable computed form: 0.0 meV/atom
- Formation energy from the elements: 523 meV per atom

Cell lengths 4.9749, 4.9749, 4.9749 Å; angles 90.00, 90.00, 90.00 degrees
Closest atoms and distances in Å follow each position.
Space group Pm-3m (No. 221)
Inequivalent atoms, fractional coordinates:
1 Y 0.0000 0.0000 0.0000  12 Hf 3.52
2 Hf 0.0000 0.5000 0.5000  2 V 2.49
3 V 0.5000 0.5000 0.5000  6 Hf 2.49